The following is a PBE calculation of a relaxed Mn2TcW crystal, from Alexandria.

## Properties
Space-group type: Cm (8)
Energy above the lowest structure with this stoichiometry in eV/atom: 0.095

a b c (Å): 4.6638 4.6638 4.5573
angles (deg): 101.30 101.30 33.76
With the nearest neighbours (Å) after each atom.
Fractional positions:
1 Mn 0.0000 0.0000 0.0000  4 Mn 2.53-2.71, 4 Tc 2.57-2.75, 3 W 2.63-2.69
2 Mn 0.7305 0.7305 0.2456  4 Mn 2.53-2.71, 3 Tc 2.58-2.69, 4 W 2.62-2.68
3 Tc 0.4738 0.4738 0.4667  7 Mn 2.57-2.75, 3 W 2.67-2.84, 2 Tc 2.71
4 W 0.2433 0.2433 0.7585  7 Mn 2.62-2.69, 3 Tc 2.67-2.84, 2 W 2.71

***

The following is a PBE calculation of a relaxed MnTcW2 crystal, from Alexandria.

## Properties
Space-group type: P4/mmm (123)
Energy above the lowest structure with this stoichiometry in eV/atom: 0.017

a b c (Å): 3.0992 3.0992 6.0704
angles (deg): 90.00 90.00 90.00
With the nearest neighbours (Å) after each atom.
Fractional positions:
1 Mn 0.0000 0.0000 0.0000  8 W 2.62
2 Tc 0.0000 0.0000 0.5000  8 W 2.71, 2 Mn 3.04
3 W 0.5000 0.5000 0.2364  4 Mn 2.62, 4 Tc 2.71, 1 W 2.87
4 W 0.5000 0.5000 0.7636  4 Mn 2.62, 4 Tc 2.71, 1 W 2.87

***

The following is a PBE calculation of a relaxed MnTcW2 crystal, from Alexandria.

## Properties
Space-group type: P4mm (99)
Energy above the lowest structure with this stoichiometry in eV/atom: 0.001

a b c (Å): 3.1347 3.1347 6.0646
angles (deg): 90.00 90.00 90.00
With the nearest neighbours (Å) after each atom.
Fractional positions:
1 Mn 0.0000 0.0000 0.0000  4 W 2.62, 4 Tc 2.70
2 Tc 0.5000 0.5000 0.2538  5 W 2.67-2.94, 4 Mn 2.70
3 W 0.0000 0.0000 0.4990  4 Tc 2.67, 4 W 2.76
4 W 0.5000 0.5000 0.7694  4 Mn 2.62, 4 W 2.76

***

The following is a PBE calculation of a relaxed Mn8TcW3 crystal, from Alexandria.

## Properties
Space-group type: P3m1 (156)

a b c (Å): 4.6945 4.6945 7.7382
angles (deg): 90.00 90.00 120.00
With the nearest neighbours (Å) after each atom.
Fractional positions:
1 Mn 0.0000 0.0000 0.0000  6 Mn 2.37-2.39
2 Mn 0.0000 0.0000 0.5002  6 Mn 2.39-2.40
3 Mn 0.1725 0.3449 0.2504  6 Mn 2.27-2.43
4 Mn 0.1725 0.8275 0.2504  6 Mn 2.27-2.43
5 Mn 0.3448 0.1724 0.7523  6 Mn 2.27-2.43
6 Mn 0.6551 0.8275 0.2504  6 Mn 2.27-2.43
7 Mn 0.8276 0.1724 0.7523  6 Mn 2.27-2.43
8 Mn 0.8276 0.6552 0.7523  6 Mn 2.27-2.43
9 Tc 0.6667 0.3333 0.0703  12 Mn 2.73-2.79, 4 W 2.81-2.90
10 W 0.3333 0.6667 0.5662  12 Mn 2.75-2.77, 4 W 2.88-2.90
11 W 0.3333 0.6667 0.9384  12 Mn 2.75, 1 W 2.88, 3 Tc 2.90
12 W 0.6667 0.3333 0.4338  12 Mn 2.74-2.79, 1 Tc 2.81, 3 W 2.90

***

The following is a PBE calculation of a relaxed MnTc2W crystal, from Alexandria.

## Properties
Space-group type: P2/m (10)

a b c (Å): 2.6668 4.3430 5.1106
angles (deg): 90.00 99.11 90.00
With the nearest neighbours (Å) after each atom.
Fractional positions:
1 Mn 0.0000 0.0000 0.0000  4 Tc 2.65, 2 Mn 2.67, 2 W 2.69
2 Tc 0.2640 0.5000 0.7577  4 Tc 2.59-2.78, 2 Mn 2.65, 2 W 2.67
3 Tc 0.7360 0.5000 0.2423  4 Tc 2.59-2.78, 2 Mn 2.65, 2 W 2.67
4 W 0.5000 0.0000 0.5000  4 Tc 2.67, 2 W 2.67, 2 Mn 2.69

***

The following is a PBE calculation of a relaxed Mn2TcW crystal, from Alexandria.

## Properties
Space-group type: P2/m (10)
Energy above the lowest structure with this stoichiometry in eV/atom: 0.055

a b c (Å): 2.6432 4.1009 5.1728
angles (deg): 90.00 102.84 90.00
With the nearest neighbours (Å) after each atom.
Fractional positions:
1 Mn 0.2425 0.0000 0.2470  2 Tc 2.59, 2 W 2.59, 4 Mn 2.59-2.67
2 Mn 0.7575 0.0000 0.7530  2 Tc 2.59, 2 W 2.59, 4 Mn 2.59-2.67
3 Tc 0.5000 0.5000 0.0000  4 Mn 2.59, 2 W 2.63, 2 Tc 2.64
4 W 0.0000 0.5000 0.5000  4 Mn 2.59, 2 Tc 2.63, 2 W 2.64

***

The following is a PBE calculation of a relaxed MnTc2W crystal, from Alexandria.

## Properties
Space-group type: I4/mmm (139)

a b c (Å): 4.7181 4.7181 4.7181
angles (deg): 131.66 131.66 70.77
With the nearest neighbours (Å) after each atom.
Fractional positions:
1 Mn 0.0000 0.0000 0.0000  8 Tc 2.73, 4 W 2.73
2 Tc 0.2500 0.7500 0.5000  4 Mn 2.73, 4 W 2.73, 4 Tc 2.73
3 Tc 0.7500 0.2500 0.5000  4 Mn 2.73, 4 W 2.73, 4 Tc 2.73
4 W 0.5000 0.5000 0.0000  8 Tc 2.73, 4 Mn 2.73

***

The following is a PBE calculation of a relaxed MnTcW crystal, from Alexandria.

## Properties
Space-group type: P3m1 (156)
Energy above the lowest structure with this stoichiometry in eV/atom: 0.000

a b c (Å): 4.3390 4.3390 2.6577
angles (deg): 90.00 90.00 120.00
With the nearest neighbours (Å) after each atom.
Fractional positions:
1 Mn 0.0000 0.0000 0.0000  3 W 2.64, 2 Mn 2.66, 3 Tc 2.69
2 Tc 0.6667 0.3333 0.3737  3 W 2.64, 2 Tc 2.66, 3 Mn 2.69
3 W 0.3333 0.6667 0.6903  3 Mn 2.64, 3 Tc 2.64, 2 W 2.66

***

The following is a PBE calculation of a relaxed MnTcW2 crystal, from Alexandria.

## Properties
Space-group type: Immm (71)
Energy above the lowest structure with this stoichiometry in eV/atom: 0.000

a b c (Å): 5.0884 5.0884 5.0884
angles (deg): 143.90 128.85 64.20
With the nearest neighbours (Å) after each atom.
Fractional positions:
1 Mn 0.0000 0.0000 0.0000  4 W 2.68, 4 Tc 2.70
2 Tc 0.5000 0.5000 0.0000  4 W 2.66, 4 Mn 2.70
3 W 0.2519 0.7519 0.5000  2 Tc 2.66, 2 Mn 2.68, 4 W 2.70
4 W 0.7481 0.2481 0.5000  2 Tc 2.66, 2 Mn 2.68, 4 W 2.70

***

The following is a PBE calculation of a relaxed MnTcW crystal, from Alexandria.

## Properties
Space-group type: Fddd (70)
Energy above the lowest structure with this stoichiometry in eV/atom: 0.036

a b c (Å): 9.4502 8.8184 4.8032
angles (deg): 82.18 67.59 30.23
With the nearest neighbours (Å) after each atom.
Fractional positions:
1 Mn 0.0050 0.0050 0.2450  2 Mn 2.41, 4 W 2.50-2.55, 4 Tc 2.50-2.59
2 Mn 0.2450 0.2450 0.0050  2 Mn 2.41, 4 W 2.50-2.55, 4 Tc 2.50-2.59
3 Mn 0.7550 0.7550 0.9950  2 Mn 2.41, 4 W 2.50-2.55, 4 Tc 2.50-2.59
4 Mn 0.9950 0.9950 0.7550  2 Mn 2.41, 4 W 2.50-2.55, 4 Tc 2.50-2.59
5 Tc 0.0500 0.7000 0.0500  4 Mn 2.50-2.59, 2 Tc 2.71
6 Tc 0.3000 0.9500 0.3000  4 Mn 2.50-2.59, 2 Tc 2.71
7 Tc 0.7000 0.0500 0.7000  4 Mn 2.50-2.59, 2 Tc 2.71
8 Tc 0.9500 0.3000 0.9500  4 Mn 2.50-2.59, 2 Tc 2.71
9 W 0.2957 0.2957 0.4543  4 Mn 2.50-2.55, 1 W 2.69
10 W 0.4543 0.4543 0.2957  4 Mn 2.50-2.55, 1 W 2.69
11 W 0.5457 0.5457 0.7043  4 Mn 2.50-2.55, 1 W 2.69
12 W 0.7043 0.7043 0.5457  4 Mn 2.50-2.55, 1 W 2.69

***

The following is a PBE calculation of a relaxed MnTcW2 crystal, from Alexandria.

## Properties
Space-group type: Cm (8)
Energy above the lowest structure with this stoichiometry in eV/atom: 0.034

a b c (Å): 5.1033 5.1033 4.3757
angles (deg): 115.31 115.31 35.75
With the nearest neighbours (Å) after each atom.
Fractional positions:
1 Mn 0.0000 0.0000 0.0000  6 W 2.65-2.69, 2 Tc 2.72
2 Tc 0.2443 0.2443 0.7440  6 W 2.66-2.69, 2 Mn 2.72
3 W 0.4958 0.4958 0.4958  2 Tc 2.66, 2 W 2.67, 4 Mn 2.69
4 W 0.7466 0.7466 0.2463  2 Mn 2.65, 2 W 2.67, 4 Tc 2.69

***

The following is a PBE calculation of a relaxed Mn3TcW crystal, from Alexandria.

## Properties
Space-group type: Pm-3m (221)
Energy above the lowest structure with this stoichiometry in eV/atom: 0.156

a b c (Å): 4.3962 4.3962 4.3962
angles (deg): 90.00 90.00 90.00
With the nearest neighbours (Å) after each atom.
Fractional positions:
1 Mn 0.0000 0.0000 0.5000  2 W 2.20
2 Mn 0.0000 0.5000 0.0000  2 W 2.20
3 Mn 0.5000 0.0000 0.0000  2 W 2.20
4 Tc 0.5000 0.5000 0.5000  12 Mn 3.11
5 W 0.0000 0.0000 0.0000  6 Mn 2.20

***

Number 1: formation energy 162 meV per atom. Number 2: formation energy 92 meV per atom. Number 3: formation energy 75 meV per atom. Number 4: formation energy -90 meV per atom. Number 5: formation energy 118 meV per atom. Number 6: formation energy 122 meV per atom. Number 7: formation energy 162 meV per atom. Number 8: formation energy 100 meV per atom. Number 9: formation energy 74 meV per atom. Number 10: formation energy 135 meV per atom. Number 11: formation energy 108 meV per atom. Number 12: formation energy 1934 meV per atom.